No. 1
# ZrPaTaTc

Crystalline ZrPaTaTc at its relaxed geometry (PBE-GGA, the Alexandria database).

Lattice parameters (Å, degrees): 6.8290 6.8290 6.8290 90.00 90.00 90.00
With the nearest neighbours (Å) after each atom.
Element x y z (fractional)
1 Zr 0.0000 0.0000 0.0000  4 Ta 2.96, 4 Tc 2.96
2 Zr 0.0000 0.5000 0.5000  4 Ta 2.96, 4 Tc 2.96
3 Zr 0.5000 0.0000 0.5000  4 Ta 2.96, 4 Tc 2.96
4 Zr 0.5000 0.5000 0.0000  4 Ta 2.96, 4 Tc 2.96
5 Pa 0.0000 0.0000 0.5000  4 Ta 2.96, 4 Tc 2.96
6 Pa 0.0000 0.5000 0.0000  4 Ta 2.96, 4 Tc 2.96
7 Pa 0.5000 0.0000 0.0000  4 Ta 2.96, 4 Tc 2.96
8 Pa 0.5000 0.5000 0.5000  4 Ta 2.96, 4 Tc 2.96
9 Ta 0.2500 0.2500 0.7500  4 Zr 2.96, 4 Pa 2.96
10 Ta 0.2500 0.7500 0.2500  4 Zr 2.96, 4 Pa 2.96
11 Ta 0.7500 0.2500 0.2500  4 Zr 2.96, 4 Pa 2.96
12 Ta 0.7500 0.7500 0.7500  4 Zr 2.96, 4 Pa 2.96
13 Tc 0.2500 0.2500 0.2500  4 Zr 2.96, 4 Pa 2.96
14 Tc 0.2500 0.7500 0.7500  4 Pa 2.96, 4 Zr 2.96
15 Tc 0.7500 0.2500 0.7500  4 Pa 2.96, 4 Zr 2.96
16 Tc 0.7500 0.7500 0.2500  4 Pa 2.96, 4 Zr 2.96

Calculated values
Crystal system = cubic
Mass density = 12539 kg/m³
Electronic total energy = -10.110 eV per atom
DFT formation energy = -0.045 eV/atom



No. 2
# PaTaTe

Crystalline PaTaTe at its relaxed geometry (PBE-GGA, the Alexandria database).

Lattice parameters (Å, degrees): 10.9097 4.2514 6.0275 90.00 90.13 90.00
With the nearest neighbours (Å) after each atom.
Element x y z (fractional)
1 Pa 0.1810 0.0000 0.2508  5 Te 3.10-3.20, 4 Ta 3.27
2 Pa 0.3190 0.5000 0.7492  5 Te 3.10-3.20, 4 Ta 3.27
3 Pa 0.6810 0.5000 0.2508  5 Te 3.10-3.20, 4 Ta 3.27
4 Pa 0.8190 0.0000 0.7492  5 Te 3.10-3.20, 4 Ta 3.27
5 Ta 0.0000 0.5000 0.0000  4 Te 2.88, 2 Ta 3.01
6 Ta 0.0000 0.5000 0.5000  4 Te 2.88, 2 Ta 3.01
7 Ta 0.5000 0.0000 0.0000  4 Te 2.88, 2 Ta 3.01
8 Ta 0.5000 0.0000 0.5000  4 Te 2.88, 2 Ta 3.01
9 Te 0.1126 0.0000 0.7506  4 Ta 2.88, 5 Pa 3.10-3.20
10 Te 0.3874 0.5000 0.2494  4 Ta 2.88, 5 Pa 3.10-3.20
11 Te 0.6126 0.5000 0.7506  4 Ta 2.88, 5 Pa 3.10-3.20
12 Te 0.8874 0.0000 0.2494  4 Ta 2.88, 5 Pa 3.10-3.20

Calculated values
Formation energy from raw total energies = -155 meV/atom
Crystal system = monoclinic
Mass density = 12820 kg/m³
Electronic total energy = -8.319 eV per atom



No. 3
# PaTa4Te8

Crystalline PaTa4Te8 at its relaxed geometry (PBE-GGA, the Alexandria database).

Lattice parameters (Å, degrees): 8.3291 8.3291 8.3291 55.66 55.66 55.66
With the nearest neighbours (Å) after each atom.
Element x y z (fractional)
1 Pa 0.0000 0.0000 0.0000  6 Te 2.95
2 Ta 0.0000 0.0000 0.5000  6 Te 2.83-2.88
3 Ta 0.0000 0.5000 0.0000  6 Te 2.83-2.88
4 Ta 0.5000 0.0000 0.0000  6 Te 2.83-2.88
5 Ta 0.5000 0.5000 0.5000  6 Te 2.75
6 Te 0.2487 0.2487 0.2487  3 Ta 2.83
7 Te 0.2593 0.2593 0.7350  3 Ta 2.75-2.88, 1 Pa 2.95
8 Te 0.2593 0.7350 0.2593  3 Ta 2.75-2.88, 1 Pa 2.95
9 Te 0.2650 0.7407 0.7407  3 Ta 2.75-2.88, 1 Pa 2.95
10 Te 0.7350 0.2593 0.2593  3 Ta 2.75-2.88, 1 Pa 2.95
11 Te 0.7407 0.2650 0.7407  3 Ta 2.75-2.88, 1 Pa 2.95
12 Te 0.7407 0.7407 0.2650  3 Ta 2.75-2.88, 1 Pa 2.95
13 Te 0.7513 0.7513 0.7513  3 Ta 2.83

Calculated values
Formation energy from raw total energies = -229 meV/atom
Crystal system = trigonal
Mass density = 8929 kg/m³
Electronic total energy = -6.539 eV per atom



Going through the records in order, we get volume values of 79.6 69.9 367.4 Å³/f.u..